Record 1
Computed, not measured: GeH6CI3N after structural relaxation at the PBE level of DFT.

Calculated values
For the total energy, the calculation gives -0.3124 Ry per atom. The theoretical density is 3.2 Mg/m³.

Cell: 8.830 8.779 12.881 Å, 87.68 92.54 88.91°
Atoms (fractional coordinates):
H  0.421  0.950  0.392
H  0.410  0.928  0.203
H  0.420  0.065  0.696
H  0.120  0.607  0.758
H  0.934  0.584  0.381
H  0.876  0.404  0.831
H  0.563  0.075  0.385
H  0.566  0.919  0.701
H  0.442  0.068  0.885
H  0.050  0.413  0.887
H  0.595  0.877  0.259
H  0.066  0.433  0.699
H  0.609  0.108  0.740
H  0.929  0.563  0.886
H  0.935  0.593  0.696
H  0.392  0.122  0.334
H  0.894  0.369  0.269
H  0.899  0.546  0.193
H  0.088  0.634  0.319
H  0.579  0.933  0.890
H  0.063  0.420  0.203
H  0.404  0.893  0.850
H  0.561  0.061  0.195
H  0.088  0.467  0.388
C  0.026  0.531  0.741
C  0.965  0.464  0.244
C  0.523  0.021  0.738
C  0.512  0.970  0.243
I  0.758  0.221  0.017
I  0.012  0.033  0.746
I  0.453  0.465  0.245
I  0.550  0.519  0.746
I  0.261  0.247  0.991
I  0.252  0.720  0.993
I  0.751  0.741  0.494
I  0.228  0.261  0.507
I  0.755  0.239  0.494
I  0.765  0.749  0.005
I  0.283  0.759  0.514
I  0.019  0.959  0.245
Ge  0.004  0.040  0.535
Ge  0.464  0.483  0.034
Ge  0.520  0.537  0.534
Ge  0.975  0.984  0.033
N  0.022  0.542  0.338
N  0.485  0.976  0.847
N  0.967  0.474  0.842
N  0.469  0.033  0.344


Record 2
Computed, not measured: Pr2GdI after structural relaxation at the PBE level of DFT.

Calculated values
The density of states at the Fermi level comes out at 7.3 states/eV/f.u. For the total energy, the calculation gives -0.4750 Ry per atom. For the distance to the lowest polymorph of the same formula, the calculation gives 184 meV per atom. The theoretical density is 6.7 Mg/m³. The value obtained for the formation energy from raw total energies is -165 meV per atom.

Cell: 3.691 3.691 12.126 Å, 81.25 81.25 60.00°
Atoms (fractional coordinates):
Gd  0.000  0.000  0.000
I  0.500  0.500  0.500
Pr  0.905  0.905  0.284
Pr  0.095  0.095  0.716


Record 3
Computed, not measured: CaY2Br after structural relaxation at the PBE level of DFT.

Calculated values
The density of states at the Fermi level comes out at 3.6 states/eV/f.u. For the total energy, the calculation gives -0.3149 Ry per atom. For the distance to the lowest polymorph of the same formula, the calculation gives 413 meV per atom. The theoretical density is 3.7 Mg/m³. The value obtained for the formation energy from raw total energies is -134 meV per atom.

Cell: 6.609 4.523 4.523 Å, 90.00 90.00 90.00°
Atoms (fractional coordinates):
Ca  0.500  0.000  0.500
Y  0.000  0.500  0.500
Y  0.000  0.000  0.000
Br  0.500  0.500  0.000


Record 4
Computed, not measured: PuGaIrAu after structural relaxation at the PBE level of DFT.

Calculated values
The density of states at the Fermi level comes out at 7.9 states/eV/f.u. For the total energy, the calculation gives -0.5597 Ry per atom. The theoretical density is 15.2 Mg/m³. For the energy of formation from the pure elements, the calculation gives -0.24 eV per atom.

Cell: 4.767 4.767 4.767 Å, 60.00 60.00 60.00°
Atoms (fractional coordinates):
Au  0.250  0.250  0.250
Ga  0.000  0.000  0.000
Pu  0.500  0.500  0.500
Ir  0.750  0.750  0.750


Record 5
Computed, not measured: Sr3GaSi2 after structural relaxation at the PBE level of DFT.

Calculated values
The density of states at the Fermi level comes out at 0.4 states/eV/f.u. For the total energy, the calculation gives -0.2561 Ry per atom. The theoretical density is 3.5 Mg/m³. The value obtained for the formation energy from raw total energies is -332 meV per atom.

Cell: 8.407 9.641 10.397 Å, 90.00 117.43 90.00°
Atoms (fractional coordinates):
Si  0.789  0.799  0.858
Si  0.211  0.201  0.142
Si  0.208  0.633  0.817
Si  0.292  0.133  0.683
Si  0.289  0.701  0.358
Si  0.792  0.367  0.183
Si  0.711  0.299  0.642
Si  0.708  0.867  0.317
Sr  0.919  0.971  0.656
Sr  0.224  0.398  0.449
Sr  0.776  0.602  0.551
Sr  0.124  0.314  0.829
Sr  0.624  0.186  0.329
Sr  0.724  0.102  0.949
Sr  0.581  0.471  0.844
Sr  0.876  0.686  0.171
Sr  0.376  0.814  0.671
Sr  0.081  0.029  0.344
Sr  0.276  0.898  0.051
Sr  0.419  0.529  0.156
Ga  0.999  0.611  0.918
Ga  0.499  0.889  0.418
Ga  0.001  0.389  0.082
Ga  0.501  0.111  0.582


Record 6
Computed, not measured: RbSmMnSe3 after structural relaxation at the PBE level of DFT.

Calculated values
For the total energy, the calculation gives -0.4052 Ry per atom. The theoretical density is 4.5 Mg/m³. The value obtained for the formation energy from raw total energies is -1295 meV per atom.

Cell: 4.304 9.441 10.101 Å, 108.22 90.00 90.00°
Atoms (fractional coordinates):
Se  0.250  0.115  0.860
Se  0.250  0.535  0.841
Se  0.250  0.803  0.463
Se  0.750  0.885  0.140
Se  0.750  0.465  0.159
Se  0.750  0.197  0.537
Sm  0.250  0.668  0.141
Sm  0.750  0.332  0.859
Rb  0.250  0.207  0.235
Rb  0.750  0.793  0.765
Mn  0.250  0.086  0.608
Mn  0.750  0.914  0.392